The following is a DFT calculation (meta-GGA SCAN) of a PBEsol-optimized structure of La3TaAg.

Lattice parameters (Å, degrees): 5.583 5.583 5.583 90.00 90.00 90.00
Atoms (fractional coordinates):
Ag (0.000, 0.000, 0.000)
La (0.500, 0.000, 0.000)
La (0.000, 0.500, 0.000)
La (0.000, 0.000, 0.500)
Ta (0.500, 0.500, 0.500)

**Formation enthalpy at 0 K**: 0.995 eV per atom
**Final energy**: -222.29 eV/cell